Ba4SrRe3ClO15 GGA-PBE relaxed; mass density = 5.92 g/cm³; energy relative to the elements, uncorrected = -2330 meV/atom; M_tot = 0.00 μB per formula unit
1.0
-2.3273 0.3267 -10.7355
-7.2561 -4.2618 7.0683
-3.2773 7.1176 0.9271
Ba Sr Re Cl O
8 2 6 2 30
Direct
0.7360 0.0000 0.7601 Ba
0.2640 0.2640 0.7601 Ba
0.0000 0.7360 0.7601 Ba
0.2619 0.0000 0.2582 Ba
0.7381 0.7381 0.2582 Ba
0.0000 0.2619 0.2582 Ba
0.3333 0.6667 0.5015 Ba
0.6667 0.3333 0.5015 Ba
0.6667 0.3333 0.0053 Sr
0.3333 0.6667 0.0053 Sr
0.6044 0.0000 0.1961 Re
0.3956 0.3956 0.1961 Re
0.0000 0.6044 0.1961 Re
0.3868 0.0000 0.7101 Re
0.6132 0.6132 0.7101 Re
0.0000 0.3868 0.7101 Re
0.0000 0.0000 0.0571 Cl
0.0000 0.0000 0.5511 Cl
0.6064 0.8660 0.0566 O
0.2596 0.3936 0.0566 O
0.1340 0.7404 0.0566 O
0.7404 0.1340 0.0566 O
0.8660 0.6064 0.0566 O
0.3936 0.2596 0.0566 O
0.3903 0.1327 0.5621 O
0.7424 0.6097 0.5621 O
0.8673 0.2576 0.5621 O
0.2576 0.8673 0.5621 O
0.1327 0.3903 0.5621 O
0.6097 0.7424 0.5621 O
0.4159 0.8667 0.2341 O
0.4508 0.5841 0.2341 O
0.1333 0.5492 0.2341 O
0.5492 0.1333 0.2341 O
0.8667 0.4159 0.2341 O
0.5841 0.4508 0.2341 O
0.5723 0.1333 0.7595 O
0.5610 0.4277 0.7595 O
0.8667 0.4390 0.7595 O
0.4390 0.8667 0.7595 O
0.1333 0.5723 0.7595 O
0.4277 0.5610 0.7595 O
0.6987 0.0000 0.3773 O
0.3013 0.3013 0.3773 O
0.0000 0.6987 0.3773 O
0.2809 0.0000 0.8780 O
0.7191 0.7191 0.8780 O
0.0000 0.2809 0.8780 O